Here is a relaxed structure of SbCF3 from Alexandria. Energies are from GGA-PBE.

The structure in extended XYZ format:
```
5
Lattice="4.4376 0.0000 0.0000 0.0000 4.4376 0.0000 0.0000 0.0000 4.4376" Properties=species:S:1:pos:R:3 pbc="T T T"
Sb 0.0000 0.0000 0.0000
C 2.2188 2.2188 2.2188
F 0.0000 0.0000 2.2188
F 0.0000 2.2188 0.0000
F 2.2188 0.0000 0.0000
```

V, Å³ per cell: 87
Space-group type: Pm-3m
Polymorph energy (0 for the lowest one), meV/atom: 0
DOS(E_F), states/eV per atom: 1.76
VASP energy, eV/atom: -4.048
ΔE_f (raw), eV per formula unit: -1.3